[1]
! GGA-PBE YZr3, relaxed; values from VASP
&SYSTEM
  ibrav = 0, nat = 12, ntyp = 2
/
ATOMIC_SPECIES
Y 88.91 Y.upf
Zr 91.22 Zr.upf
ATOMIC_POSITIONS angstrom
Y 0.000 0.000 0.000
Y 0.000 6.022 2.088
Y 5.216 3.011 1.044
Zr -2.608 4.517 0.000
Zr 0.000 3.011 1.044
Zr -2.608 7.528 1.044
Zr 2.608 1.506 2.088
Zr 5.216 0.000 0.000
Zr 2.608 4.517 0.000
Zr 2.608 7.528 1.044
Zr 7.823 1.506 2.088
Zr 5.216 6.022 2.088
CELL_PARAMETERS angstrom
10.431 0.000 0.000
-5.216 9.034 0.000
0.000 0.000 3.132
! Space-group type: R-3m
! Density, Mg/m³: 6.12
! ΔE to the lowest computed polymorph, eV per atom: 0.1506
! V, Å³/cell: 295.1
! Formation energy, meV per atom: 203

***

[2]
! GGA-PBE NpCl2F5, relaxed; values from VASP
&SYSTEM
  ibrav = 0, nat = 8, ntyp = 3
/
ATOMIC_SPECIES
Np 237.00 Np.upf
Cl 35.45 Cl.upf
F 19.00 F.upf
ATOMIC_POSITIONS angstrom
Np 0.000 0.000 0.000
Cl 2.676 2.630 3.402
Cl 5.316 3.302 3.542
F 3.457 5.860 4.932
F 2.262 4.072 0.072
F 3.468 -0.148 6.944
F 5.742 1.861 6.874
F 4.553 0.072 2.012
CELL_PARAMETERS angstrom
4.542 0.000 0.000
2.268 6.081 0.000
1.197 -0.148 6.945
! Space-group type: P1
! Density, Mg/m³: 3.49
! ΔE to the lowest computed polymorph, eV per atom: 0.0000
! V, Å³/cell: 191.8

***

[3]
! GGA-PBE LiTlIn, relaxed; values from VASP
&SYSTEM
  ibrav = 0, nat = 3, ntyp = 3
/
ATOMIC_SPECIES
Li 6.94 Li.upf
Tl 204.38 Tl.upf
In 114.82 In.upf
ATOMIC_POSITIONS angstrom
Li 0.000 0.000 0.000
Tl 2.524 1.457 1.081
In 0.000 2.915 2.144
CELL_PARAMETERS angstrom
5.049 0.000 0.000
-2.524 4.372 0.000
0.000 0.000 3.356
! Space-group type: P3m1
! Density, Mg/m³: 7.31
! ΔE to the lowest computed polymorph, eV per atom: 0.0614
! V, Å³/cell: 74.1
! Formation energy, meV per atom: -84

***

[4]
! GGA-PBE RuW2Br, relaxed; values from VASP
&SYSTEM
  ibrav = 0, nat = 4, ntyp = 3
/
ATOMIC_SPECIES
Ru 101.07 Ru.upf
W 183.84 W.upf
Br 79.90 Br.upf
ATOMIC_POSITIONS angstrom
Ru 0.000 0.000 0.000
W 0.000 0.000 3.092
W 1.552 1.552 1.423
Br 1.552 1.552 4.947
CELL_PARAMETERS angstrom
3.104 0.000 0.000
0.000 3.104 0.000
0.000 0.000 7.078
! Space-group type: P4mm
! Density, Mg/m³: 13.36
! ΔE to the lowest computed polymorph, eV per atom: 0.1046
! V, Å³/cell: 68.2